No. 1
Compound: Ba2Ca2Ir
Source: Alexandria via LeMat-Bulk
Functional: PBE-GGA
Structure: relaxed

The space group is C2/m (No. 12) and the conventional cell measures 8.327, 13.584 and 8.167 Å, with angles of 90.00, 116.43 and 90.00 degrees. Symmetry generates all atoms from Ba at (0.041, 0.225, 0.264), Ca at (0.213, 0.500, 0.844), Ca at (0.239, 0.500, 0.394) and Ir at (0.000, 0.389, 0.500).

The energy above the most stable polymorph in this dataset is 0.000 eV/atom. For the calculated formation energy, the calculation gives -0.1363 eV per atom.

No. 2
Compound: MgSb2Au2
Source: Alexandria via LeMat-Bulk
Functional: PBE-GGA
Structure: relaxed

The space group is P4/mbm (No. 127) and the conventional cell measures 7.844, 7.844 and 3.844 Å, with angles of 90.00, 90.00 and 90.00 degrees. Symmetry generates all atoms from Mg at (0.000, 0.000, 0.000), Sb at (0.173, 0.327, 0.000) and Au at (0.132, 0.632, 0.500).

The energy above the most stable polymorph in this dataset is 0.122 eV/atom. The value obtained for the formation energy (no corrections) is 0.000 eV/atom.

No. 3
Compound: TcBrClO2
Source: Alexandria via LeMat-Bulk
Functional: PBE-GGA
Structure: relaxed

The space group is P4/mmm (No. 123) and the conventional cell measures 3.894, 3.894 and 5.568 Å, with angles of 90.00, 90.00 and 90.00 degrees. Symmetry generates all atoms from Tc at (0.000, 0.000, 0.000), Br at (0.000, 0.000, 0.500), Cl at (0.500, 0.500, 0.000) and O at (0.000, 0.500, 0.500).

The value obtained for the formation energy (no corrections) is 0.809 eV/atom.

No. 4
Compound: BaSi3Pt
Source: Alexandria via LeMat-Bulk
Functional: PBE-GGA
Structure: relaxed

The space group is P2_1/c (No. 14) and the conventional cell measures 7.918, 6.691 and 8.762 Å, with angles of 90.00, 115.54 and 90.00 degrees. Symmetry generates all atoms from Ba at (0.135, 0.059, 0.212), Si at (0.159, 0.552, 0.102), Si at (0.321, 0.046, 0.921), Si at (0.436, 0.142, 0.627) and Pt at (0.422, 0.737, 0.079).

The value obtained for the formation energy (no corrections) is -0.469 eV/atom.

No. 5
Compound: YTe2Mo
Source: Alexandria via LeMat-Bulk
Functional: PBE-GGA
Structure: relaxed

The space group is P4/mmm (No. 123) and the conventional cell measures 5.047, 5.047 and 3.575 Å, with angles of 90.00, 90.00 and 90.00 degrees. Symmetry generates all atoms from Y at (0.000, 0.000, 0.000), Te at (0.000, 0.500, 0.500) and Mo at (0.500, 0.500, 0.000).

The energy above the most stable polymorph in this dataset is 0.082 eV/atom. The value obtained for the formation energy (no corrections) is -0.302 eV/atom.

No. 6
Compound: Zr4Re
Source: Alexandria via LeMat-Bulk
Functional: PBE-GGA
Structure: relaxed

The space group is I4/mmm (No. 139) and the conventional cell measures 3.665, 3.665 and 17.049 Å, with angles of 90.00, 90.00 and 90.00 degrees. Symmetry generates all atoms from Zr at (0.000, 0.000, 0.084), Zr at (0.000, 0.500, 0.250) and Re at (0.000, 0.000, 0.500).

The energy above the most stable polymorph in this dataset is 0.864 eV/atom. For the calculated formation energy, the calculation gives 0.7401 eV per atom.

No. 7
Compound: BaCaIr2
Source: Alexandria via LeMat-Bulk
Functional: PBE-GGA
Structure: relaxed

The space group is P2/m (No. 10) and the conventional cell measures 3.238, 4.289 and 6.903 Å, with angles of 90.00, 90.29 and 90.00 degrees. Symmetry generates all atoms from Ba at (0.000, 0.000, 0.000), Ca at (0.000, 0.000, 0.500) and Ir at (0.497, 0.500, 0.312).

The energy above the most stable polymorph in this dataset is 0.419 eV/atom. For the calculated formation energy, the calculation gives 0.1612 eV per atom.

No. 8
Compound: MgNi2Os
Source: Alexandria via LeMat-Bulk
Functional: PBE-GGA
Structure: relaxed

The space group is P2/m (No. 10) and the conventional cell measures 2.634, 3.728 and 5.410 Å, with angles of 90.00, 90.10 and 90.00 degrees. Symmetry generates all atoms from Mg at (0.000, 0.000, 0.000), Ni at (0.500, 0.500, 0.273) and Os at (0.000, 0.000, 0.500).

For the calculated formation energy, the calculation gives 0.0554 eV per atom.

No. 9
Compound: GaHSN2
Source: Alexandria via LeMat-Bulk
Functional: PBE-GGA
Structure: relaxed

The space group is P4/mmm (No. 123) and the conventional cell measures 4.003, 4.003 and 3.013 Å, with angles of 90.00, 90.00 and 90.00 degrees. Symmetry generates all atoms from Ga at (0.000, 0.000, 0.000), H at (0.500, 0.500, 0.500), S at (0.500, 0.500, 0.000) and N at (0.000, 0.500, 0.500).

The energy above the most stable polymorph in this dataset is 0.000 eV/atom.

No. 10
Compound: KHfF3
Source: Alexandria via LeMat-Bulk
Functional: PBE-GGA
Structure: relaxed

The space group is Pm-3m (No. 221) and the conventional cell measures 4.419, 4.419 and 4.419 Å, with angles of 90.00, 90.00 and 90.00 degrees. Symmetry generates all atoms from K at (0.000, 0.000, 0.000), Hf at (0.500, 0.500, 0.500) and F at (0.000, 0.500, 0.500).

The energy above the most stable polymorph in this dataset is 0.000 eV/atom. The value obtained for the formation energy (no corrections) is -2.419 eV/atom.

No. 11
Compound: YCuPb2
Source: Alexandria via LeMat-Bulk
Functional: PBE-GGA
Structure: relaxed

The space group is I4/mmm (No. 139) and the conventional cell measures 4.536, 4.536 and 9.813 Å, with angles of 90.00, 90.00 and 90.00 degrees. Symmetry generates all atoms from Y at (0.000, 0.000, 0.000), Cu at (0.000, 0.000, 0.500) and Pb at (0.000, 0.500, 0.250).

The energy above the most stable polymorph in this dataset is 0.123 eV/atom. For the calculated formation energy, the calculation gives -0.0496 eV per atom.

No. 12
Compound: Fe2TcPt
Source: Alexandria via LeMat-Bulk
Functional: PBE-GGA
Structure: relaxed

The space group is Pmmm (No. 47) and the conventional cell measures 2.676, 3.707 and 5.386 Å, with angles of 90.00, 90.00 and 90.00 degrees. Symmetry generates all atoms from Fe at (0.000, 0.000, 0.237), Tc at (0.500, 0.500, 0.000) and Pt at (0.500, 0.500, 0.500).

The energy above the most stable polymorph in this dataset is 0.036 eV/atom. For the calculated formation energy, the calculation gives -0.0148 eV per atom.

No. 13
Compound: SmGeRu
Source: Alexandria via LeMat-Bulk
Functional: PBE-GGA
Structure: relaxed

The space group is I4/mmm (No. 139) and the conventional cell measures 4.269, 4.269 and 13.836 Å, with angles of 90.00, 90.00 and 90.00 degrees. Symmetry generates all atoms from Sm at (0.000, 0.000, 0.148), Ge at (0.000, 0.000, 0.392) and Ru at (0.000, 0.500, 0.000).

For the calculated formation energy, the calculation gives -0.7058 eV per atom.

No. 14
Compound: La5Pr2Hg2
Source: Alexandria via LeMat-Bulk
Functional: PBE-GGA
Structure: relaxed

The space group is C2/m (No. 12) and the conventional cell measures 18.779, 3.729 and 9.208 Å, with angles of 90.00, 109.17 and 90.00 degrees. Symmetry generates all atoms from La at (0.000, 0.000, 0.000), La at (0.110, 0.000, 0.515), La at (0.181, 0.500, 0.268), Pr at (0.168, 0.000, 0.916) and Hg at (0.020, 0.500, 0.719).

For the calculated formation energy, the calculation gives -0.1258 eV per atom.

No. 15
Compound: TaGaBi3
Source: Alexandria via LeMat-Bulk
Functional: PBE-GGA
Structure: relaxed

The space group is Pm-3m (No. 221) and the conventional cell measures 5.329, 5.329 and 5.329 Å, with angles of 90.00, 90.00 and 90.00 degrees. Symmetry generates all atoms from Ta at (0.000, 0.000, 0.000), Ga at (0.500, 0.500, 0.500) and Bi at (0.000, 0.500, 0.500).

The energy above the most stable polymorph in this dataset is 0.786 eV/atom. For the calculated formation energy, the calculation gives 1.3313 eV per atom.